A PBEsol-optimized structure of PdPtNO2. Source: the Alexandria database, functional SCAN.

It has space group P4/mmm (No. 123), with a = 3.979 Å, b = 3.979 Å, c = 3.684 Å, α = 90.00°, β = 90.00° and γ = 90.00°. The asymmetric unit holds Pd at (0.000, 0.000, 0.000), Pt at (0.500, 0.500, 0.500), N at (0.000, 0.000, 0.500) and O at (0.000, 0.500, 0.000).

The uncorrected formation energy comes out at 1.20 eV/atom. The value obtained for the density of states at the Fermi level is 3.84 states/eV/f.u. For the total magnetization, the calculation gives 2.74 μB per cell.

=====

A PBEsol-optimized structure of RbPdNO2. Source: the Alexandria database, functional SCAN.

It has space group P4/mmm (No. 123), with a = 4.740 Å, b = 4.740 Å, c = 5.032 Å, α = 90.00°, β = 90.00° and γ = 90.00°. The asymmetric unit holds Rb at (0.000, 0.000, 0.000), Pd at (0.500, 0.500, 0.500), N at (0.000, 0.000, 0.500) and O at (0.000, 0.500, 0.000).

The uncorrected formation energy comes out at 1.82 eV/atom. The value obtained for the density of states at the Fermi level is 4.54 states/eV/f.u. For the total magnetization, the calculation gives 6.00 μB per cell.

=====

A PBEsol-optimized structure of SbPdN2O. Source: the Alexandria database, functional SCAN.

It has space group P4/mmm (No. 123), with a = 3.895 Å, b = 3.895 Å, c = 3.942 Å, α = 90.00°, β = 90.00° and γ = 90.00°. The asymmetric unit holds Sb at (0.000, 0.000, 0.000), Pd at (0.500, 0.500, 0.500), N at (0.000, 0.500, 0.500) and O at (0.500, 0.500, 0.000).

The uncorrected formation energy comes out at 1.03 eV/atom. The value obtained for the density of states at the Fermi level is 3.18 states/eV/f.u. For the total magnetization, the calculation gives 0.00 μB per cell.

=====

A PBEsol-optimized structure of TcPdN2O. Source: the Alexandria database, functional SCAN.

It has space group P4/mmm (No. 123), with a = 3.882 Å, b = 3.882 Å, c = 3.693 Å, α = 90.00°, β = 90.00° and γ = 90.00°. The asymmetric unit holds Tc at (0.000, 0.000, 0.000), Pd at (0.500, 0.500, 0.500), N at (0.000, 0.500, 0.000) and O at (0.000, 0.000, 0.500).

The uncorrected formation energy comes out at 0.39 eV/atom. The value obtained for the density of states at the Fermi level is 3.23 states/eV/f.u. For the total magnetization, the calculation gives 0.00 μB per cell.